Computed, not measured: VCrReIr after structural relaxation at the PBE level of DFT.

Computed properties:
magnetic moment: 2.74 μB/f.u.

Structure (CIF):
```
data_VCrReIr
_symmetry_space_group_name_H-M 'F -4 3 m'
_symmetry_Int_Tables_number 216
_symmetry_space_group_name_Hall 'F -4 2 3'
_cell_length_a 6.060
_cell_length_b 6.060
_cell_length_c 6.060
_cell_angle_alpha 90.00
_cell_angle_beta 90.00
_cell_angle_gamma 90.00
loop_
_atom_site_label
_atom_site_fract_x
_atom_site_fract_y
_atom_site_fract_z
_atom_site_occupancy
V1 0.000 0.000 0.000 1
Cr1 0.000 0.000 0.500 1
Re1 0.250 0.250 0.750 1
Ir1 0.250 0.250 0.250 1
```

=====

Computed, not measured: Mo5Ir4Rh after structural relaxation at the PBE level of DFT.

Computed properties:
magnetic moment: 0.00 μB/f.u.

Structure (CIF):
```
data_Mo5Ir4Rh
_symmetry_space_group_name_H-M 'P 4/m m m'
_symmetry_Int_Tables_number 123
_symmetry_space_group_name_Hall '-P 4 2'
_cell_length_a 2.763
_cell_length_b 2.763
_cell_length_c 19.674
_cell_angle_alpha 90.00
_cell_angle_beta 90.00
_cell_angle_gamma 90.00
loop_
_atom_site_label
_atom_site_fract_x
_atom_site_fract_y
_atom_site_fract_z
_atom_site_occupancy
Mo1 0.000 0.000 0.000 1
Mo2 0.000 0.000 0.200 1
Mo3 0.000 0.000 0.400 1
Ir1 0.500 0.500 0.100 1
Ir2 0.500 0.500 0.300 1
Rh1 0.500 0.500 0.500 1
```

=====

| no. | calculated density (Mg/m³) | calculated formation energy (eV per atom) |
| --- | --- | --- |
| 1 | 14.36 | -0.14 |
| 2 | 14.94 | -0.27 |